Computed, not measured: a relaxed structure of Tm2Al3Au2 at the PBE level of DFT.

Structure (CIF):
```
data_Tm2Al3Au2
_space_group_name_H-M_alt 'C 1 2/m 1'
_space_group_IT_number 12
_cell_length_a 10.426
_cell_length_b 4.309
_cell_length_c 6.814
_cell_angle_alpha 90.00
_cell_angle_beta 114.54
_cell_angle_gamma 90.00
loop_
_space_group_symop_operation_xyz
'x,y,z'
'-x,-y,-z'
'-x,y,-z'
'x,-y,z'
'x+1/2,y+1/2,z'
'-x+1/2,-y+1/2,-z'
'-x+1/2,y+1/2,-z'
'x+1/2,-y+1/2,z'
loop_
_atom_site_label
_atom_site_type_symbol
_atom_site_fract_x
_atom_site_fract_y
_atom_site_fract_z
Tm1 Tm 0.147 0.000 0.281
Al1 Al 0.000 0.500 0.500
Al2 Al 0.104 0.500 0.932
Au1 Au 0.150 0.000 0.734
```

The crystal system is monoclinic. Its total energy is -4.503 eV/atom. Its formation energy is -66.1 kJ/mol of atoms.